No. 1
A geometry-optimized TlAsRhC2 structure, computed with PBE.

**Density of states at the Fermi level**: 4.5 states/eV/f.u.
**ΔH_f (0 K)**: 2.18 eV per atom

Unit cell a=3.847 b=3.847 c=6.519 alpha=90.00 beta=90.00 gamma=90.00
Space group P4/mmm (No. 123)
Asymmetric unit:
Tl 0.000 0.000 0.000 x1
As 0.000 0.000 0.500 x1
Rh 0.500 0.500 0.000 x1
C 0.000 0.500 0.500 x2

=====

No. 2
A geometry-optimized Y2AsRhC structure, computed with PBE.

**Density of states at the Fermi level**: 4.1 states/eV/f.u.
**ΔH_f (0 K)**: 0.77 eV per atom

Unit cell a=5.336 b=5.336 c=4.443 alpha=90.00 beta=90.00 gamma=90.00
Space group P4/mmm (No. 123)
Asymmetric unit:
Y 0.000 0.500 0.000 x2
As 0.000 0.000 0.000 x1
Rh 0.000 0.000 0.500 x1
C 0.500 0.500 0.500 x1

=====

No. 3
A geometry-optimized AsRu3C structure, computed with PBE.

**Density of states at the Fermi level**: 4.9 states/eV/f.u.
**ΔH_f (0 K)**: 0.35 eV per atom

Unit cell a=4.059 b=4.059 c=4.059 alpha=90.00 beta=90.00 gamma=90.00
Space group Pm-3m (No. 221)
Asymmetric unit:
As 0.000 0.000 0.000 x1
Ru 0.000 0.500 0.500 x3
C 0.500 0.500 0.500 x1

=====

No. 4
A geometry-optimized As2RuC structure, computed with PBE.

**Density of states at the Fermi level**: 0.2 states/eV/f.u.
**ΔH_f (0 K)**: 0.56 eV per atom

Unit cell a=5.363 b=5.363 c=8.768 alpha=90.00 beta=90.00 gamma=90.00
Space group I-42d (No. 122)
Asymmetric unit:
As 0.194 0.250 0.125 x8
Ru 0.000 0.000 0.500 x4
C 0.000 0.000 0.000 x4

=====

No. 5
A geometry-optimized As2RuCSe structure, computed with PBE.

**Energy relative to the elements, uncorrected**: 1.72 eV/atom
**Density of states at the Fermi level**: 3.4 states/eV/f.u.

Unit cell a=4.633 b=4.633 c=5.239 alpha=90.00 beta=90.00 gamma=90.00
Space group P4/mmm (No. 123)
Asymmetric unit:
As 0.000 0.500 0.000 x2
Ru 0.000 0.000 0.000 x1
C 0.500 0.500 0.500 x1
Se 0.000 0.000 0.500 x1

=====

No. 6
A geometry-optimized As2RuCSe structure, computed with PBE.

**Energy relative to the elements, uncorrected**: 1.17 eV/atom
**Density of states at the Fermi level**: 2.9 states/eV/f.u.

Unit cell a=4.201 b=4.201 c=4.300 alpha=90.00 beta=90.00 gamma=90.00
Space group P4/mmm (No. 123)
Asymmetric unit:
As 0.000 0.500 0.000 x2
Ru 0.000 0.000 0.500 x1
C 0.500 0.500 0.000 x1
Se 0.500 0.500 0.500 x1